# SiBi2Se5, optimized geometry, DFT PBE-GGA
data_SiBi2Se5
_chemical_formula_sum 'Si4 Bi8 Se20'
_symmetry_space_group_name_H-M 'C m c m'
_symmetry_Int_Tables_number 63
_symmetry_space_group_name_Hall '-C 2c 2'
_cell_length_a 5.669
_cell_length_b 13.944
_cell_length_c 12.737
_cell_angle_alpha 90.00
_cell_angle_beta 90.00
_cell_angle_gamma 90.00
loop_
_atom_site_label
_atom_site_type_symbol
_atom_site_fract_x
_atom_site_fract_y
_atom_site_fract_z
Si1 Si 0.000 0.167 0.250
Bi1 Bi 0.000 0.161 0.574
Se1 Se 0.000 0.050 0.117
Se2 Se 0.000 0.295 0.110
Se3 Se 0.000 0.300 0.750
# total magnetization	0.0	Bohr magnetons per cell
# total energy	-3.99	eV per atom
# DOS(E_F)	0.84	states/eV/f.u.


# Tl2ZnPb, optimized geometry, DFT PBE-GGA
data_Tl2ZnPb
_chemical_formula_sum 'Tl4 Zn2 Pb2'
_symmetry_space_group_name_H-M 'C 1 2/m 1'
_symmetry_Int_Tables_number 12
_cell_length_a 6.510
_cell_length_b 11.214
_cell_length_c 3.327
_cell_angle_alpha 90.00
_cell_angle_beta 111.20
_cell_angle_gamma 90.00
loop_
_symmetry_equiv_pos_as_xyz
'x,y,z'
'-x,-y,-z'
'-x,y,-z'
'x,-y,z'
'x+1/2,y+1/2,z'
'-x+1/2,-y+1/2,-z'
'-x+1/2,y+1/2,-z'
'x+1/2,-y+1/2,z'
loop_
_atom_site_label
_atom_site_type_symbol
_atom_site_fract_x
_atom_site_fract_y
_atom_site_fract_z
Tl1 Tl 0.250 0.250 0.000
Zn1 Zn 0.000 0.000 0.500
Pb1 Pb 0.000 0.500 0.500
# total magnetization	0.0	Bohr magnetons per cell
# formation energy from the elements	143	meV/atom
# total energy	-2.29	eV per atom
# E above lowest polymorph	23	kJ/mol of formula units
# DOS(E_F)	1.42	states/eV/f.u.


# Ba2CdIn6Cu, optimized geometry, DFT PBE-GGA
data_Ba2CdIn6Cu
_chemical_formula_sum 'Ba2 Cd1 In6 Cu1'
_symmetry_space_group_name_H-M 'P -1'
_symmetry_Int_Tables_number 2
_cell_length_a 6.948
_cell_length_b 7.250
_cell_length_c 7.946
_cell_angle_alpha 69.48
_cell_angle_beta 64.17
_cell_angle_gamma 61.47
loop_
_symmetry_equiv_pos_as_xyz
'x,y,z'
'-x,-y,-z'
loop_
_atom_site_label
_atom_site_type_symbol
_atom_site_fract_x
_atom_site_fract_y
_atom_site_fract_z
Ba1 Ba 0.211 0.230 0.350
Cd1 Cd 0.500 0.500 0.500
In1 In 0.243 0.638 0.872
In2 In 0.259 0.223 0.822
In3 In 0.299 0.773 0.182
Cu1 Cu 0.000 0.000 0.000
# total magnetization	0.0	Bohr magnetons per cell
# formation energy from the elements	-198	meV/atom
# total energy	-2.73	eV per atom
# DOS(E_F)	2.90	states/eV/f.u.


# TaAgI2N, optimized geometry, DFT PBE-GGA
data_TaAgI2N
_chemical_formula_sum 'Ta1 Ag1 I2 N1'
_symmetry_space_group_name_H-M 'P 4/m m m'
_symmetry_Int_Tables_number 123
_symmetry_space_group_name_Hall '-P 4 2'
_cell_length_a 5.813
_cell_length_b 5.813
_cell_length_c 3.790
_cell_angle_alpha 90.00
_cell_angle_beta 90.00
_cell_angle_gamma 90.00
loop_
_atom_site_label
_atom_site_type_symbol
_atom_site_fract_x
_atom_site_fract_y
_atom_site_fract_z
Ta1 Ta 0.000 0.000 0.000
Ag1 Ag 0.500 0.500 0.500
I1 I 0.000 0.500 0.500
N1 N 0.500 0.500 0.000
# total magnetization	2.8	Bohr magnetons per cell
# total energy	-3.55	eV per atom
# E above lowest polymorph	721	kJ/mol of formula units
# DOS(E_F)	4.99	states/eV/f.u.


# Y3Rh4, optimized geometry, DFT PBE-GGA
data_Y3Rh4
_chemical_formula_sum 'Y18 Rh24'
_symmetry_space_group_name_H-M 'R -3'
_symmetry_Int_Tables_number 148
_symmetry_space_group_name_Hall '-R 3'
_cell_length_a 12.6483
_cell_length_b 12.6483
_cell_length_c 5.8431
_cell_angle_alpha 90.00
_cell_angle_beta 90.00
_cell_angle_gamma 120.00
loop_
_atom_site_label
_atom_site_type_symbol
_atom_site_fract_x
_atom_site_fract_y
_atom_site_fract_z
Y1 Y 0.0405 0.2182 0.2093
Rh1 Rh 0.0000 0.0000 0.0000
Rh2 Rh 0.0000 0.0000 0.5000
Rh3 Rh 0.0482 0.2511 0.6886
# total magnetization	0.0	Bohr magnetons per cell
# formation energy from the elements	-727	meV/atom
# total energy	-7.70	eV per atom
# DOS(E_F)	4.84	states/eV/f.u.


# CaLuRh4, optimized geometry, DFT PBE-GGA
data_CaLuRh4
_chemical_formula_sum 'Ca4 Lu4 Rh16'
_symmetry_space_group_name_H-M 'F -4 3 m'
_symmetry_Int_Tables_number 216
_symmetry_space_group_name_Hall 'F -4 2 3'
_cell_length_a 7.515
_cell_length_b 7.515
_cell_length_c 7.515
_cell_angle_alpha 90.00
_cell_angle_beta 90.00
_cell_angle_gamma 90.00
loop_
_atom_site_label
_atom_site_type_symbol
_atom_site_fract_x
_atom_site_fract_y
_atom_site_fract_z
Ca1 Ca 0.000 0.000 0.000
Lu1 Lu 0.250 0.250 0.750
Rh1 Rh 0.125 0.125 0.375
# total magnetization	0.0	Bohr magnetons per cell
# formation energy from the elements	-611	meV/atom
# total energy	-6.60	eV per atom
# DOS(E_F)	2.57	states/eV/f.u.


# Li2PrPd, optimized geometry, DFT PBE-GGA
data_Li2PrPd
_chemical_formula_sum 'Li4 Pr2 Pd2'
_symmetry_space_group_name_H-M 'P 1 21/m 1'
_symmetry_Int_Tables_number 11
_cell_length_a 4.136
_cell_length_b 8.028
_cell_length_c 5.584
_cell_angle_alpha 90.00
_cell_angle_beta 111.62
_cell_angle_gamma 90.00
loop_
_symmetry_equiv_pos_as_xyz
'x,y,z'
'-x,-y,-z'
'-x,y+1/2,-z'
'x,-y+1/2,z'
loop_
_atom_site_label
_atom_site_type_symbol
_atom_site_fract_x
_atom_site_fract_y
_atom_site_fract_z
Li1 Li 0.163 0.057 0.328
Pr1 Pr 0.444 0.250 0.889
Pd1 Pd 0.267 0.750 0.534
# total magnetization	0.0	Bohr magnetons per cell
# formation energy from the elements	-328	meV/atom
# total energy	-3.78	eV per atom
# E above lowest polymorph	0	kJ/mol of formula units
# DOS(E_F)	2.82	states/eV/f.u.


# K2NaPaTe4, optimized geometry, DFT PBE-GGA
data_K2NaPaTe4
_chemical_formula_sum 'K2 Na1 Pa1 Te4'
_symmetry_space_group_name_H-M 'P 1 2/m 1'
_symmetry_Int_Tables_number 10
_cell_length_a 7.987
_cell_length_b 4.635
_cell_length_c 8.485
_cell_angle_alpha 90.00
_cell_angle_beta 107.83
_cell_angle_gamma 90.00
loop_
_symmetry_equiv_pos_as_xyz
'x,y,z'
'-x,-y,-z'
'-x,y,-z'
'x,-y,z'
loop_
_atom_site_label
_atom_site_type_symbol
_atom_site_fract_x
_atom_site_fract_y
_atom_site_fract_z
K1 K 0.000 0.000 0.000
K2 K 0.500 0.500 0.000
Na1 Na 0.000 0.500 0.500
Pa1 Pa 0.500 0.000 0.500
Te1 Te 0.264 0.000 0.707
Te2 Te 0.283 0.500 0.296
# total magnetization	0.0	Bohr magnetons per cell
# total energy	-4.19	eV per atom


# TePtSe, optimized geometry, DFT PBE-GGA
data_TePtSe
_chemical_formula_sum 'Te4 Pt4 Se4'
_symmetry_space_group_name_H-M 'P 1 21/c 1'
_symmetry_Int_Tables_number 14
_cell_length_a 8.273
_cell_length_b 6.035
_cell_length_c 6.216
_cell_angle_alpha 90.00
_cell_angle_beta 107.92
_cell_angle_gamma 90.00
loop_
_symmetry_equiv_pos_as_xyz
'x,y,z'
'-x,-y,-z'
'-x,y+1/2,-z+1/2'
'x,-y+1/2,z+1/2'
loop_
_atom_site_label
_atom_site_type_symbol
_atom_site_fract_x
_atom_site_fract_y
_atom_site_fract_z
Te1 Te 0.153 0.111 0.306
Pt1 Pt 0.264 0.505 0.231
Se1 Se 0.358 0.622 0.639
# total magnetization	0.0	Bohr magnetons per cell
# total energy	-4.49	eV per atom
# E above lowest polymorph	35	kJ/mol of formula units
# DOS(E_F)	0.19	states/eV/f.u.


- Which value of total energy does entry 6 give?
  -6.60 eV per atom